Entry 1:
VASP calculation (GGA-PBE) on KTiTl after structural relaxation.

Properties
Its symmetry is P-1. The magnetization is 0.000 μB per formula unit. The value obtained for the formation energy is 0.1206 eV/atom. The raw total energy is -3.666 eV/atom.

Cell: 3.3445 3.7884 13.9788 Å, 90.12 90.06 90.00°
Closest atoms and distances in Å follow each position.
Fractional coordinates of all 6 atoms:
K (0.2483, 0.2472, 0.1475)  2 K 3.34, 4 Tl 3.60-3.61
K (0.7517, 0.7528, 0.8525)  2 K 3.34, 4 Tl 3.60-3.61
Ti (0.2499, 0.2497, 0.4502)  4 Ti 2.88-2.89, 5 Tl 3.02-3.05
Ti (0.7501, 0.7503, 0.5498)  4 Ti 2.88-2.89, 5 Tl 3.02-3.05
Tl (0.2507, 0.2512, 0.6686)  5 Ti 3.02-3.05, 2 Tl 3.34
Tl (0.7493, 0.7488, 0.3314)  5 Ti 3.02-3.05, 2 Tl 3.34

***

Entry 2:
VASP calculation (GGA-PBE) on KTiTl after structural relaxation.

Properties
Its symmetry is P1. The magnetization is 0.460 μB per formula unit. The value obtained for the formation energy is 0.2129 eV/atom. The raw total energy is -3.573 eV/atom.

Cell: 3.4629 4.6166 12.9079 Å, 100.28 96.91 90.00°
Closest atoms and distances in Å follow each position.
Fractional coordinates of all 6 atoms:
K (0.0000, 0.0000, 0.0000)  2 K 3.46, 2 Ti 3.77-3.79, 2 Tl 3.79
K (0.3196, 0.3486, 0.6974)  1 Ti 3.41, 2 K 3.46
Ti (0.1989, 0.2115, 0.4266)  2 Ti 2.66, 4 Tl 2.95
Ti (0.6275, 0.1317, 0.2667)  2 Ti 2.66, 4 Tl 2.91
Tl (0.1151, 0.6176, 0.2383)  4 Ti 2.91
Tl (0.7202, 0.7353, 0.4743)  4 Ti 2.95

***

Entry 3:
VASP calculation (GGA-PBE) on KTiTl after structural relaxation.

Properties
Its symmetry is Cm. The magnetization is 0.000 μB per formula unit. The value obtained for the formation energy is 0.2280 eV/atom. The raw total energy is -3.558 eV/atom.

Cell: 8.0567 4.5644 12.0477 Å, 90.00 102.75 90.00°
Closest atoms and distances in Å follow each position.
Fractional coordinates of all 12 atoms:
K (0.0000, 0.0000, 0.0000)  3 Tl 3.53-3.55, 1 Ti 3.87
K (0.2177, 0.0000, 0.6581)  3 Tl 3.53-3.55, 1 Ti 3.87
K (0.5000, 0.5000, 0.0000)  3 Tl 3.53-3.55, 1 Ti 3.87
K (0.7177, 0.5000, 0.6581)  3 Tl 3.53-3.55, 1 Ti 3.87
Ti (0.0832, 0.0000, 0.3291)  1 Ti 2.36
Ti (0.2900, 0.5000, 0.3291)  1 Ti 2.36
Ti (0.5832, 0.5000, 0.3291)  1 Ti 2.36
Ti (0.7900, 0.0000, 0.3291)  1 Ti 2.36
Tl (0.3943, 0.0000, 0.1988)  6 Ti 2.99-3.24, 1 Tl 3.06
Tl (0.4805, 0.0000, 0.4592)  6 Ti 2.99-3.24, 1 Tl 3.06
Tl (0.8943, 0.5000, 0.1988)  6 Ti 2.99-3.24, 1 Tl 3.06
Tl (0.9805, 0.5000, 0.4592)  6 Ti 2.99-3.24, 1 Tl 3.06

***

Question: Among the records above, which one has the highest formation energy?
Answer: number 3

***

Question: Which value of formation energy does entry 1 give?
Answer: 0.1206 eV/atom